This record from Alexandria describes an optimized crystal structure of Nb12MoW7. The functional is PBE-GGA.

Cell: 7.175 7.175 7.175 Å, 85.98 85.98 85.98°
Atoms (fractional coordinates):
Nb  0.004  0.124  0.643
Nb  0.124  0.643  0.004
Nb  0.225  0.757  0.628
Nb  0.243  0.372  0.775
Nb  0.357  0.996  0.876
Nb  0.372  0.775  0.243
Nb  0.628  0.225  0.757
Nb  0.643  0.004  0.124
Nb  0.757  0.628  0.225
Nb  0.775  0.243  0.372
Nb  0.876  0.357  0.996
Nb  0.996  0.876  0.357
Mo  0.500  0.500  0.500
W  0.000  0.000  0.000
W  0.133  0.453  0.368
W  0.368  0.133  0.453
W  0.453  0.368  0.133
W  0.547  0.632  0.867
W  0.632  0.867  0.547
W  0.867  0.547  0.632

As for the total moment: 0.00 μB per formula unit. Its formation energy is 0.375 eV per atom. Its space-group type is No. 148.


This record from Alexandria describes an optimized crystal structure of Nb2Mo3W2. The functional is PBE-GGA.

Cell: 3.199 5.324 7.168 Å, 82.35 89.96 72.78°
Atoms (fractional coordinates):
Nb  0.212  0.077  0.146
Nb  0.788  0.923  0.854
Mo  0.358  0.783  0.569
Mo  0.500  0.500  0.000
Mo  0.642  0.217  0.431
W  0.070  0.360  0.711
W  0.930  0.640  0.289

As for the total moment: 0.00 μB per formula unit. Its formation energy is -0.088 eV per atom. Its space-group type is No. 2.


This record from Alexandria describes an optimized crystal structure of NbMoW. The functional is PBE-GGA.

Cell: 4.261 7.378 9.571 Å, 90.00 90.10 90.00°
Atoms (fractional coordinates):
Nb  0.000  0.167  0.250
Nb  0.000  0.833  0.750
Nb  0.500  0.333  0.750
Nb  0.500  0.667  0.250
Mo  0.000  0.500  0.250
Mo  0.000  0.500  0.750
Mo  0.500  0.000  0.250
Mo  0.500  0.000  0.750
W  0.000  0.500  0.000
W  0.000  0.500  0.500
W  0.500  0.000  0.000
W  0.500  0.000  0.500

As for the total moment: 0.00 μB per formula unit. Its formation energy is 2.438 eV per atom. Its space-group type is No. 15.


This record from Alexandria describes an optimized crystal structure of Nb4Mo3W2. The functional is PBE-GGA.

Cell: 4.562 4.562 8.431 Å, 90.00 90.00 120.00°
Atoms (fractional coordinates):
Nb  0.000  0.000  0.169
Nb  0.000  0.000  0.831
Nb  0.333  0.667  0.611
Nb  0.667  0.333  0.389
Mo  0.000  0.000  0.500
Mo  0.333  0.667  0.950
Mo  0.667  0.333  0.050
W  0.333  0.667  0.273
W  0.667  0.333  0.727

As for the total moment: 0.00 μB per formula unit. Its formation energy is -0.100 eV per atom. Its space-group type is No. 164.


This record from Alexandria describes an optimized crystal structure of Nb2Mo3W3. The functional is PBE-GGA.

Cell: 4.530 4.533 12.843 Å, 90.00 90.00 90.00°
Atoms (fractional coordinates):
Nb  0.000  0.000  0.250
Nb  0.000  0.000  0.750
Nb  0.500  0.500  0.250
Nb  0.500  0.500  0.750
Mo  0.000  0.000  0.000
Mo  0.000  0.500  0.123
Mo  0.000  0.500  0.877
Mo  0.500  0.000  0.377
Mo  0.500  0.000  0.623
Mo  0.500  0.500  0.500
W  0.000  0.000  0.500
W  0.000  0.500  0.378
W  0.000  0.500  0.622
W  0.500  0.000  0.122
W  0.500  0.000  0.878
W  0.500  0.500  0.000

As for the total moment: 0.00 μB per formula unit. Its formation energy is -0.079 eV per atom. Its space-group type is No. 71.


This record from Alexandria describes an optimized crystal structure of Nb3MoW. The functional is PBE-GGA.

Cell: 4.743 4.743 4.743 Å, 90.00 90.00 90.00°
Atoms (fractional coordinates):
Nb  0.000  0.000  0.500
Nb  0.000  0.500  0.000
Nb  0.500  0.000  0.000
Mo  0.000  0.000  0.000
W  0.500  0.500  0.500

As for the total moment: 0.00 μB per formula unit. Its formation energy is 1.663 eV per atom. Its space-group type is No. 221.


This record from Alexandria describes an optimized crystal structure of NbMoW. The functional is PBE-GGA.

Cell: 9.642 4.541 5.576 Å, 90.00 125.25 90.00°
Atoms (fractional coordinates):
Nb  0.168  0.000  0.082
Nb  0.332  0.500  0.918
Nb  0.668  0.500  0.082
Nb  0.832  0.000  0.918
Mo  0.003  0.500  0.253
Mo  0.497  0.000  0.747
Mo  0.503  0.000  0.253
Mo  0.997  0.500  0.747
W  0.165  0.000  0.578
W  0.335  0.500  0.422
W  0.665  0.500  0.578
W  0.835  0.000  0.422

As for the total moment: 0.00 μB per formula unit. Its formation energy is -0.086 eV per atom. Its space-group type is No. 12.


This record from Alexandria describes an optimized crystal structure of Nb3Mo8W3. The functional is PBE-GGA.

Cell: 8.031 8.031 8.031 Å, 148.06 111.84 77.26°
Atoms (fractional coordinates):
Nb  0.000  0.000  0.000
Nb  0.293  0.293  0.000
Nb  0.707  0.707  0.000
Mo  0.047  0.693  0.354
Mo  0.136  0.884  0.251
Mo  0.339  0.693  0.646
Mo  0.367  0.116  0.251
Mo  0.633  0.884  0.749
Mo  0.661  0.307  0.354
Mo  0.864  0.116  0.749
Mo  0.953  0.307  0.646
W  0.328  0.500  0.828
W  0.500  0.000  0.500
W  0.672  0.500  0.172

As for the total moment: 0.00 μB per formula unit. Its formation energy is 0.466 eV per atom. Its space-group type is No. 71.